This record from Alexandria via LeMat-Bulk describes a geometry-optimized CaMg2 structure. The functional is GGA-PBE.

For the formation enthalpy at 0 K, the calculation gives 0.41 eV/atom. The total DFT energy (no corrections) comes out at -3.95 eV per formula unit. The calculation puts the volume at 36.38 A^3/atom. Its total magnetization is 0.000 μB/f.u.

It has space group Fm-3m (No. 225), with a = 7.5861 Å, b = 7.5861 Å, c = 7.5861 Å, α = 90.00°, β = 90.00° and γ = 90.00°. Symmetry generates all atoms from Ca at (0.0000, 0.0000, 0.0000) and Mg at (0.2500, 0.2500, 0.2500).